# 1
Computed, not measured: a geometry-optimized La2Zr2F structure at the PBE level of DFT.

```
data_La2Zr2F
_chemical_formula_sum 'La4 Zr4 F2'
_cell_length_a 6.3269
_cell_length_b 6.3269
_cell_length_c 6.2916
_cell_angle_alpha 90.00
_cell_angle_beta 90.00
_cell_angle_gamma 90.00
_space_group_name_H-M_alt 'P 4/m b m'
_space_group_IT_number 127
_space_group_name_Hall '-P 4 2ab'
loop_
_atom_site_label
_atom_site_type_symbol
_atom_site_fract_x
_atom_site_fract_y
_atom_site_fract_z
La1 La 0.1700 0.3300 0.0000
Zr1 Zr 0.1616 0.6616 0.5000
F1 F 0.0000 0.0000 0.5000
```

Properties
energy relative to the elements, uncorrected: -486 meV per atom
crystal system: tetragonal
total DFT energy (no corrections): -62.51 eV/cell
energy above the lowest structure with this stoichiometry: 0 meV/atom

***

# 2
Computed, not measured: a geometry-optimized La2Zr2F structure at the PBE level of DFT.

```
data_La2Zr2F
_chemical_formula_sum 'La4 Zr4 F2'
_cell_length_a 4.1292
_cell_length_b 4.1292
_cell_length_c 16.1327
_cell_angle_alpha 90.00
_cell_angle_beta 90.00
_cell_angle_gamma 90.00
_space_group_name_H-M_alt 'I 4/m m m'
_space_group_IT_number 139
_space_group_name_Hall '-I 4 2'
loop_
_atom_site_label
_atom_site_type_symbol
_atom_site_fract_x
_atom_site_fract_y
_atom_site_fract_z
La1 La 0.0000 0.5000 0.2500
Zr1 Zr 0.0000 0.0000 0.0756
F1 F 0.0000 0.0000 0.5000
```

Properties
energy relative to the elements, uncorrected: 577 meV per atom
crystal system: tetragonal
total DFT energy (no corrections): -51.88 eV/cell
energy above the lowest structure with this stoichiometry: 1063 meV/atom

***

# 3
Computed, not measured: a geometry-optimized LaZrF2 structure at the PBE level of DFT.

```
data_LaZrF2
_chemical_formula_sum 'La4 Zr4 F8'
_cell_length_a 6.5211
_cell_length_b 6.5211
_cell_length_c 6.5211
_cell_angle_alpha 90.00
_cell_angle_beta 90.00
_cell_angle_gamma 90.00
_space_group_name_H-M_alt 'F m -3 m'
_space_group_IT_number 225
_space_group_name_Hall '-F 4 2 3'
loop_
_atom_site_label
_atom_site_type_symbol
_atom_site_fract_x
_atom_site_fract_y
_atom_site_fract_z
La1 La 0.0000 0.0000 0.0000
Zr1 Zr 0.0000 0.0000 0.5000
F1 F 0.2500 0.2500 0.2500
```

Properties
energy relative to the elements, uncorrected: -1358 meV per atom
crystal system: cubic
total DFT energy (no corrections): -90.60 eV/cell
energy above the lowest structure with this stoichiometry: 511 meV/atom

***

# 4
Computed, not measured: a geometry-optimized LaZrF7 structure at the PBE level of DFT.

```
data_LaZrF7
_chemical_formula_sum 'La2 Zr2 F14'
_cell_length_a 6.3782
_cell_length_b 6.0253
_cell_length_c 8.6370
_cell_angle_alpha 90.00
_cell_angle_beta 102.72
_cell_angle_gamma 90.00
_space_group_name_H-M_alt 'P 1 21 1'
_space_group_IT_number 4
_space_group_name_Hall 'P 2yb'
loop_
_atom_site_label
_atom_site_type_symbol
_atom_site_fract_x
_atom_site_fract_y
_atom_site_fract_z
La1 La 0.1571 0.0000 0.1894
Zr1 Zr 0.3127 0.0078 0.7244
F1 F 0.0461 0.6995 0.0196
F2 F 0.0766 0.7749 0.7098
F3 F 0.0993 0.2652 0.7076
F4 F 0.2672 0.0011 0.4831
F5 F 0.3556 0.0144 0.9650
F6 F 0.4474 0.2750 0.2551
F7 F 0.4526 0.7426 0.2664
```

Properties
energy relative to the elements, uncorrected: -3922 meV per atom
crystal system: monoclinic
total DFT energy (no corrections): -123.74 eV/cell

***

# 5
Computed, not measured: a geometry-optimized LaZrF2 structure at the PBE level of DFT.

```
data_LaZrF2
_chemical_formula_sum 'La4 Zr4 F8'
_cell_length_a 5.5655
_cell_length_b 5.5655
_cell_length_c 10.3915
_cell_angle_alpha 90.00
_cell_angle_beta 90.00
_cell_angle_gamma 90.00
_space_group_name_H-M_alt 'I -4 2 d'
_space_group_IT_number 122
_space_group_name_Hall 'I -4 2bw'
loop_
_atom_site_label
_atom_site_type_symbol
_atom_site_fract_x
_atom_site_fract_y
_atom_site_fract_z
La1 La 0.0000 0.0000 0.0000
Zr1 Zr 0.0000 0.0000 0.5000
F1 F 0.2415 0.2500 0.6250
```

Properties
energy relative to the elements, uncorrected: -1869 meV per atom
crystal system: tetragonal
total DFT energy (no corrections): -98.78 eV/cell
energy above the lowest structure with this stoichiometry: 0 meV/atom

***

# 6
Computed, not measured: a geometry-optimized LiF3 structure at the PBE level of DFT.

```
data_LiF3
_chemical_formula_sum 'Li2 F6'
_cell_length_a 2.9035
_cell_length_b 2.9035
_cell_length_c 9.9636
_cell_angle_alpha 90.00
_cell_angle_beta 90.00
_cell_angle_gamma 90.00
_space_group_name_H-M_alt 'I 4/m m m'
_space_group_IT_number 139
_space_group_name_Hall '-I 4 2'
loop_
_atom_site_label
_atom_site_type_symbol
_atom_site_fract_x
_atom_site_fract_y
_atom_site_fract_z
Li1 Li 0.0000 0.0000 0.0000
F1 F 0.0000 0.0000 0.2203
F2 F 0.0000 0.0000 0.5000
```

Properties
energy relative to the elements, uncorrected: -1187 meV per atom
crystal system: tetragonal
total DFT energy (no corrections): -24.55 eV/cell
energy above the lowest structure with this stoichiometry: 262 meV/atom

***

# 7
Computed, not measured: a geometry-optimized LiF3 structure at the PBE level of DFT.

```
data_LiF3
_chemical_formula_sum 'Li3 F9'
_cell_length_a 3.2900
_cell_length_b 3.2900
_cell_length_c 17.3632
_cell_angle_alpha 90.00
_cell_angle_beta 90.00
_cell_angle_gamma 120.00
_space_group_name_H-M_alt 'R -3 m'
_space_group_IT_number 166
_space_group_name_Hall '-R 3 2"'
loop_
_atom_site_label
_atom_site_type_symbol
_atom_site_fract_x
_atom_site_fract_y
_atom_site_fract_z
Li1 Li 0.0000 0.0000 0.0000
F1 F 0.0000 0.0000 0.0988
F2 F 0.0000 0.0000 0.5000
```

Properties
energy relative to the elements, uncorrected: -771 meV per atom
crystal system: trigonal
total DFT energy (no corrections): -31.84 eV/cell
energy above the lowest structure with this stoichiometry: 678 meV/atom

***

# 8
Computed, not measured: a geometry-optimized LiF3 structure at the PBE level of DFT.

```
data_LiF3
_chemical_formula_sum 'Li4 F12'
_cell_length_a 4.2224
_cell_length_b 4.2224
_cell_length_c 11.2804
_cell_angle_alpha 90.00
_cell_angle_beta 90.00
_cell_angle_gamma 90.00
_space_group_name_H-M_alt 'I -4 2 d'
_space_group_IT_number 122
_space_group_name_Hall 'I -4 2bw'
loop_
_atom_site_label
_atom_site_type_symbol
_atom_site_fract_x
_atom_site_fract_y
_atom_site_fract_z
Li1 Li 0.0000 0.0000 0.0000
F1 F 0.0000 0.0000 0.5000
F2 F 0.1997 0.2500 0.1250
```

Properties
energy relative to the elements, uncorrected: -1185 meV per atom
crystal system: tetragonal
total DFT energy (no corrections): -49.07 eV/cell
energy above the lowest structure with this stoichiometry: 264 meV/atom

***

# 9
Computed, not measured: a geometry-optimized LiF3 structure at the PBE level of DFT.

```
data_LiF3
_chemical_formula_sum 'Li4 F12'
_cell_length_a 5.4521
_cell_length_b 5.4521
_cell_length_c 5.4521
_cell_angle_alpha 90.00
_cell_angle_beta 90.00
_cell_angle_gamma 90.00
_space_group_name_H-M_alt 'F m -3 m'
_space_group_IT_number 225
_space_group_name_Hall '-F 4 2 3'
loop_
_atom_site_label
_atom_site_type_symbol
_atom_site_fract_x
_atom_site_fract_y
_atom_site_fract_z
Li1 Li 0.0000 0.0000 0.0000
F1 F 0.0000 0.0000 0.5000
F2 F 0.2500 0.2500 0.2500
```

Properties
energy relative to the elements, uncorrected: -1035 meV per atom
crystal system: cubic
total DFT energy (no corrections): -46.67 eV/cell
energy above the lowest structure with this stoichiometry: 414 meV/atom

***

# 10
Computed, not measured: a geometry-optimized LiF2 structure at the PBE level of DFT.

```
data_LiF2
_chemical_formula_sum 'Li4 F8'
_cell_length_a 5.6154
_cell_length_b 3.0832
_cell_length_c 9.6175
_cell_angle_alpha 90.00
_cell_angle_beta 106.29
_cell_angle_gamma 90.00
_space_group_name_H-M_alt 'C 1 2/m 1'
_space_group_IT_number 12
_space_group_name_Hall '-C 2y'
loop_
_atom_site_label
_atom_site_type_symbol
_atom_site_fract_x
_atom_site_fract_y
_atom_site_fract_z
Li1 Li 0.9998 0.0000 0.1777
F1 F 0.0697 0.5000 0.5757
F2 F 0.1718 0.5000 0.1712
```

Properties
energy relative to the elements, uncorrected: -1877 meV per atom
crystal system: monoclinic
total DFT energy (no corrections): -45.16 eV/cell
energy above the lowest structure with this stoichiometry: 0 meV/atom

***

# 11
Computed, not measured: a geometry-optimized Li3F structure at the PBE level of DFT.

```
data_Li3F
_chemical_formula_sum 'Li6 F2'
_cell_length_a 2.6770
_cell_length_b 8.7901
_cell_length_c 5.1501
_cell_angle_alpha 90.00
_cell_angle_beta 90.00
_cell_angle_gamma 90.00
_space_group_name_H-M_alt 'I m m 2'
_space_group_IT_number 44
_space_group_name_Hall 'I 2 -2'
loop_
_atom_site_label
_atom_site_type_symbol
_atom_site_fract_x
_atom_site_fract_y
_atom_site_fract_z
Li1 Li 0.0000 0.0000 0.0000
Li2 Li 0.0000 0.1524 0.4454
F1 F 0.0000 0.5000 0.7980
```

Properties
energy relative to the elements, uncorrected: -1314 meV per atom
crystal system: orthorhombic
total DFT energy (no corrections): -25.74 eV/cell

***

# 12
Computed, not measured: a geometry-optimized LiF3 structure at the PBE level of DFT.

```
data_LiF3
_chemical_formula_sum 'Li2 F6'
_cell_length_a 4.4255
_cell_length_b 4.4255
_cell_length_c 5.1618
_cell_angle_alpha 90.00
_cell_angle_beta 90.00
_cell_angle_gamma 120.00
_space_group_name_H-M_alt 'P 63/m m c'
_space_group_IT_number 194
_space_group_name_Hall '-P 6c 2c'
loop_
_atom_site_label
_atom_site_type_symbol
_atom_site_fract_x
_atom_site_fract_y
_atom_site_fract_z
Li1 Li 0.3333 0.6667 0.2500
F1 F 0.1690 0.3380 0.7500
```

Properties
energy relative to the elements, uncorrected: -1132 meV per atom
crystal system: hexagonal
total DFT energy (no corrections): -24.11 eV/cell
energy above the lowest structure with this stoichiometry: 318 meV/atom

***

Which of these has the highest total DFT energy (no corrections)?
number 12

***

Number 1 is which compound?
La2Zr2F

***

The lowest total DFT energy (no corrections) belongs to which entry?
LaZrF7